Material: AcCe2YAs4
Method: DFT, PBE
State: relaxed

POSCAR file:
```
AcCe2YAs4
1.0
7.415 0.000 0.000
0.000 4.285 0.000
-2.470 0.000 7.008
Ac Ce Y As
1 2 1 4
Cartesian
0.000 0.000 0.000
2.472 0.000 3.504
3.707 2.142 0.000
-1.235 2.142 3.504
0.056 0.000 5.188
1.292 2.142 1.865
3.652 2.142 5.143
4.889 0.000 1.820
```

Computed properties:
Total moment: 1.35 μB/cell
Final energy: -6.567 eV per atom
Fermi-level density of states: 1.4225 states/eV/atom
Space-group type: P2/m (10)